1.
Tl12SnSb7: optimized geometry, PBE.

Lattice parameters (Å, degrees): 17.6846 17.6846 7.3408 90.00 90.00 120.00
With the nearest neighbours (Å) after each atom.
Space group R-3 (No. 148, hexagonal axes)
Symmetry-distinct sites (fractional):
Tl  0.0434  0.4297  0.1434 x18  3 Sb 3.25-3.49, 5 Tl 3.40-3.62
Tl  0.0806  0.8527  0.8450 x18  3 Sb 3.20-3.30, 3 Tl 3.40-3.56
Sn  0.0000  0.0000  0.5000 x3  6 Sb 3.11
Sb  0.0000  0.0000  0.0000 x3  6 Sb 3.20
Sb  0.0561  0.8913  0.2603 x18  1 Sn 3.11, 1 Sb 3.20, 5 Tl 3.20-3.40

Results
Its formation energy (no corrections) is 0.027 eV per atom. As for the density of states at the Fermi level: 17.62 states/eV per cell. The crystal system is trigonal. The calculation puts the calculated density at 8.58 g cm⁻³. The energy is -3.035 eV/atom.

---

2.
Tl16Sn12Sb: optimized geometry, PBE.

Lattice parameters (Å, degrees): 12.1026 16.8310 10.4595 90.00 123.89 90.00
With the nearest neighbours (Å) after each atom.
Space group Cm (No. 8)
Symmetry-distinct sites (fractional):
Tl  0.0000  0.0000  0.0000 x2  12 Sn 3.62-3.75, 4 Tl 3.73-3.77
Tl  0.0022  0.0000  0.3584 x2  4 Tl 3.47-3.73, 6 Sn 3.56-3.64, 1 Sb 3.77
Tl  0.0538  0.3470  0.3969 x4  4 Sn 3.35-3.74, 7 Tl 3.48-3.73
Tl  0.1416  0.5000  0.6605 x2  1 Sb 3.45, 5 Tl 3.48-3.83, 6 Sn 3.52-3.75
Tl  0.1568  0.1626  0.5979 x4  5 Sn 3.31-3.67, 5 Tl 3.47-3.66, 1 Sb 3.50
Tl  0.1786  0.1797  0.9939 x4  4 Tl 3.47-3.74, 6 Sn 3.57-3.69
Tl  0.1829  0.5000  0.2890 x2  5 Sn 3.42-3.63, 7 Tl 3.51-3.60
Tl  0.3013  0.3000  0.3202 x4  5 Sn 3.34-3.60, 6 Tl 3.51-3.67
Tl  0.4598  0.1338  0.9931 x4  5 Sn 3.29-3.56, 3 Tl 3.49-3.55, 1 Sb 3.59
Tl  0.4854  0.1921  0.6878 x4  5 Sn 3.34-3.70, 6 Tl 3.47-3.67, 1 Sb 3.52
Sn  0.0039  0.1861  0.1829 x4  3 Sn 3.08-3.17, 1 Tl 3.35
Sn  0.1891  0.0000  0.8134 x2  3 Sn 3.09-3.19, 1 Sb 3.14, 2 Tl 3.43
Sn  0.2330  0.4095  0.0098 x4  3 Sn 3.04-3.16, 2 Tl 3.29-3.41
Sn  0.2691  0.0940  0.3647 x4  3 Sn 3.08-3.19, 1 Sb 3.23, 2 Tl 3.34-3.42
Sn  0.3201  0.3177  0.8176 x4  3 Sn 3.07-3.17, 1 Tl 3.31
Sn  0.3559  0.0000  0.1694 x2  3 Sn 3.09-3.19, 3 Tl 3.42
Sn  0.4117  0.4077  0.6374 x4  3 Sn 3.07-3.19, 2 Tl 3.34-3.43
Sb  0.3664  0.0000  0.6806 x2  3 Sn 3.14-3.23, 3 Tl 3.45-3.50

Results
Its formation energy (no corrections) is 0.007 eV per atom. As for the density of states at the Fermi level: 18.24 states/eV per cell. The crystal system is monoclinic. The calculation puts the calculated density at 9.04 g cm⁻³. The energy is -3.097 eV/atom.

---

3.
Tl2SnSb2: optimized geometry, PBE.

Lattice parameters (Å, degrees): 7.9354 7.9354 5.2410 90.00 90.00 90.00
With the nearest neighbours (Å) after each atom.
Space group P4/mbm (No. 127)
Symmetry-distinct sites (fractional):
Tl  0.1786  0.3214  0.0000 x4  6 Sb 3.41-3.60
Sn  0.0000  0.0000  0.5000 x2  4 Sb 3.12
Sb  0.1275  0.6275  0.5000 x4  1 Sb 2.86, 2 Sn 3.12

Results
Its formation energy (no corrections) is 0.048 eV per atom. As for the density of states at the Fermi level: 4.59 states/eV per cell. The crystal system is tetragonal. The calculation puts the calculated density at 7.76 g cm⁻³. The energy is -3.348 eV/atom.

---

4.
TlSnSb: optimized geometry, PBE.

Lattice parameters (Å, degrees): 6.9224 5.6367 9.2384 90.00 90.00 90.00
With the nearest neighbours (Å) after each atom.
Space group Pnma (No. 62)
Symmetry-distinct sites (fractional):
Tl  0.0055  0.2500  0.2261 x4  6 Sb 3.35-3.72, 2 Tl 3.49, 6 Sn 3.54-3.72
Sn  0.2016  0.2500  0.5815 x4  4 Sb 3.07-3.21
Sb  0.2424  0.7500  0.4171 x4  4 Sn 3.07-3.21, 1 Tl 3.35

Results
Its formation energy (no corrections) is -0.006 eV per atom. As for the density of states at the Fermi level: 5.51 states/eV per cell. The crystal system is orthorhombic. The calculation puts the calculated density at 8.20 g cm⁻³. The energy is -3.504 eV/atom.

---

5.
Tl5Sn4Sb4: optimized geometry, PBE.

Lattice parameters (Å, degrees): 12.5305 12.5305 5.1847 90.00 90.00 90.00
With the nearest neighbours (Å) after each atom.
Space group I4/m (No. 87)
Symmetry-distinct sites (fractional):
Tl  0.0000  0.0000  0.0000 x2  4 Sb 3.40, 8 Tl 3.73
Tl  0.1049  0.8138  0.5000 x8  5 Sb 3.33-3.64, 1 Sn 3.63, 2 Tl 3.73
Sn  0.0867  0.4033  0.5000 x8  3 Sb 3.02-3.18, 1 Sn 3.26
Sb  0.0863  0.2570  0.0000 x8  3 Sn 3.02-3.18, 1 Tl 3.33

Results
Its formation energy (no corrections) is 0.018 eV per atom. As for the density of states at the Fermi level: 8.44 states/eV per cell. The crystal system is tetragonal. The calculation puts the calculated density at 8.09 g cm⁻³. The energy is -3.393 eV/atom.

---

6.
Tl7SnSb3: optimized geometry, PBE.

Lattice parameters (Å, degrees): 9.2342 9.2342 4.9883 90.00 90.00 120.00
With the nearest neighbours (Å) after each atom.
Space group P3m1 (No. 156)
Symmetry-distinct sites (fractional):
Tl  0.0000  0.0000  0.0000 x1  3 Sb 3.19, 3 Tl 3.31
Tl  0.0834  0.5417  0.0172 x3  2 Sb 3.17, 4 Tl 3.42-3.46
Tl  0.1492  0.2983  0.4612 x3  2 Sb 3.21, 3 Tl 3.31-3.42
Sn  0.6667  0.3333  0.3895 x1  3 Sb 3.06
Sb  0.3771  0.1886  0.7898 x3  1 Sn 3.06, 5 Tl 3.17-3.21

Results
Its formation energy (no corrections) is 0.066 eV per atom. As for the density of states at the Fermi level: 5.02 states/eV per cell. The crystal system is trigonal. The calculation puts the calculated density at 8.63 g cm⁻³. The energy is -2.928 eV/atom.